Material: Th2Zn15Ru2
Method: DFT, PBE-GGA
State: relaxed

abc: 6.810 6.810 6.810
angles: 84.44 84.44 84.44
Element x y z (fractional)
1 Zn 0.846 0.351 0.351
2 Zn 0.722 0.278 0.000
3 Zn 0.278 0.000 0.722
4 Zn 0.649 0.154 0.649
5 Zn 0.000 0.278 0.722
6 Zn 0.351 0.351 0.846
7 Zn 0.000 0.000 0.500
8 Zn 0.278 0.722 0.000
9 Zn 0.154 0.649 0.649
10 Zn 0.351 0.846 0.351
11 Zn 0.722 0.000 0.278
12 Zn 0.500 0.000 0.000
13 Zn 0.000 0.500 0.000
14 Zn 0.649 0.649 0.154
15 Zn 0.000 0.722 0.278
16 Ru 0.884 0.884 0.884
17 Ru 0.116 0.116 0.116
18 Th 0.331 0.331 0.331
19 Th 0.669 0.669 0.669

Output
Energy of formation from the pure elements = -389 kJ/mol of formula units
Space group = R-3m, No. 166
Calculated density = 8.78 g/cm³